Entry 1:
A relaxed Ca5FePb3 crystal. Source: Alexandria via LeMat-Bulk, functional PBE.

The space group is P6_3/mcm (No. 193) and the conventional cell measures 9.5564, 9.5564 and 6.7516 Å, with angles of 90.00, 90.00 and 120.00 degrees. The distinct sites, in fractional coordinates, are Ca at (0.0000, 0.2686, 0.2500), Ca at (0.3333, 0.6667, 0.0000), Fe at (0.0000, 0.0000, 0.0000) and Pb at (0.0000, 0.3843, 0.7500).

As for the formation energy: -0.24 eV per atom. The density of states at the Fermi level is 1.06 states/eV/atom. The crystal system is hexagonal. The uncorrected energy is -63.60 eV for the cell shown. The calculation puts the volume at 534.0 Å³/cell.



Entry 2:
A relaxed Ca2FePb crystal. Source: Alexandria via LeMat-Bulk, functional PBE.

The space group is Amm2 (No. 38) and the conventional cell measures 4.464, 4.423 and 11.576 Å, with angles of 90.00, 90.00 and 90.00 degrees. The distinct sites, in fractional coordinates, are Ca at (0.000, 0.000, 0.000), Ca at (0.500, 0.000, 0.293), Fe at (0.500, 0.000, 0.579) and Pb at (0.000, 0.000, 0.710).

As for the formation energy: 0.07 eV per atom. The density of states at the Fermi level is 1.45 states/eV/atom. The crystal system is orthorhombic. The uncorrected energy is -31.76 eV for the cell shown. The calculation puts the volume at 228.5 Å³/cell.



Entry 3:
A relaxed CaFePb2 crystal. Source: Alexandria via LeMat-Bulk, functional PBE.

The space group is P4mm (No. 99) and the conventional cell measures 3.690, 3.690 and 7.631 Å, with angles of 90.00, 90.00 and 90.00 degrees. The distinct sites, in fractional coordinates, are Ca at (0.000, 0.000, 0.000), Fe at (0.500, 0.500, 0.278), Pb at (0.000, 0.000, 0.411) and Pb at (0.500, 0.500, 0.702).

As for the formation energy: 0.21 eV per atom. The density of states at the Fermi level is 0.90 states/eV/atom. The crystal system is tetragonal. The uncorrected energy is -17.03 eV for the cell shown. The calculation puts the volume at 103.9 Å³/cell.



Entry 4:
A relaxed Ca2FePb crystal. Source: Alexandria via LeMat-Bulk, functional PBE.

The space group is R-3m (No. 166, hexagonal axes) and the conventional cell measures 3.5989, 3.5989 and 29.7055 Å, with angles of 90.00, 90.00 and 120.00 degrees. The distinct sites, in fractional coordinates, are Ca at (0.0000, 0.0000, 0.2406), Fe at (0.0000, 0.0000, 0.5000) and Pb at (0.0000, 0.0000, 0.0000).

As for the formation energy: 0.25 eV per atom. The density of states at the Fermi level is 0.90 states/eV/atom. The crystal system is trigonal. The uncorrected energy is -45.48 eV for the cell shown. The calculation puts the volume at 333.2 Å³/cell.



Entry 5:
A relaxed CaFePb2 crystal. Source: Alexandria via LeMat-Bulk, functional PBE.

The space group is R-3m (No. 166, hexagonal axes) and the conventional cell measures 3.9217, 3.9217 and 23.9849 Å, with angles of 90.00, 90.00 and 120.00 degrees. The distinct sites, in fractional coordinates, are Ca at (0.0000, 0.0000, 0.0000), Fe at (0.0000, 0.0000, 0.5000) and Pb at (0.0000, 0.0000, 0.2324).

As for the formation energy: 0.14 eV per atom. The density of states at the Fermi level is 0.84 states/eV/atom. The crystal system is trigonal. The uncorrected energy is -51.93 eV for the cell shown. The calculation puts the volume at 319.5 Å³/cell.



Entry 6:
A relaxed CaFePb2 crystal. Source: Alexandria via LeMat-Bulk, functional PBE.

The space group is P4/mmm (No. 123) and the conventional cell measures 4.722, 4.722 and 4.481 Å, with angles of 90.00, 90.00 and 90.00 degrees. The distinct sites, in fractional coordinates, are Ca at (0.000, 0.000, 0.000), Fe at (0.500, 0.500, 0.000) and Pb at (0.000, 0.500, 0.500).

As for the formation energy: 0.17 eV per atom. The density of states at the Fermi level is 0.98 states/eV/atom. The crystal system is tetragonal. The uncorrected energy is -17.18 eV for the cell shown. The calculation puts the volume at 99.9 Å³/cell.



Entry 7:
A relaxed CaFePb2 crystal. Source: Alexandria via LeMat-Bulk, functional PBE.

The space group is P4/mmm (No. 123) and the conventional cell measures 3.509, 3.509 and 7.843 Å, with angles of 90.00, 90.00 and 90.00 degrees. The distinct sites, in fractional coordinates, are Ca at (0.000, 0.000, 0.000), Fe at (0.000, 0.000, 0.500) and Pb at (0.500, 0.500, 0.294).

As for the formation energy: 0.13 eV per atom. The density of states at the Fermi level is 1.06 states/eV/atom. The crystal system is tetragonal. The uncorrected energy is -17.37 eV for the cell shown. The calculation puts the volume at 96.6 Å³/cell.



Entry 8:
A relaxed CaFePb crystal. Source: Alexandria via LeMat-Bulk, functional PBE.

The space group is F-43m (No. 216) and the conventional cell measures 7.061, 7.061 and 7.061 Å, with angles of 90.00, 90.00 and 90.00 degrees. The distinct sites, in fractional coordinates, are Ca at (0.000, 0.000, 0.000), Fe at (0.250, 0.250, 0.250) and Pb at (0.250, 0.250, 0.750).

As for the formation energy: 0.86 eV per atom. The density of states at the Fermi level is 3.24 states/eV/atom. The crystal system is cubic. The uncorrected energy is -46.39 eV for the cell shown. The calculation puts the volume at 352.0 Å³/cell.



Entry 9:
A relaxed CaFePb crystal. Source: Alexandria via LeMat-Bulk, functional PBE.

The space group is I4mm (No. 107) and the conventional cell measures 3.578, 3.578 and 10.896 Å, with angles of 90.00, 90.00 and 90.00 degrees. The distinct sites, in fractional coordinates, are Ca at (0.000, 0.000, 0.000), Fe at (0.000, 0.000, 0.683) and Pb at (0.000, 0.000, 0.292).

As for the formation energy: 0.21 eV per atom. The density of states at the Fermi level is 0.65 states/eV/atom. The crystal system is tetragonal. The uncorrected energy is -27.11 eV for the cell shown. The calculation puts the volume at 139.5 Å³/cell.



Entry 10:
A relaxed Ca2FePb crystal. Source: Alexandria via LeMat-Bulk, functional PBE.

The space group is Cm (No. 8) and the conventional cell measures 12.199, 3.709 and 5.254 Å, with angles of 90.00, 115.33 and 90.00 degrees. The distinct sites, in fractional coordinates, are Ca at (0.000, 0.000, 0.000), Ca at (0.204, 0.000, 0.703), Fe at (0.458, 0.000, 0.459) and Pb at (0.275, 0.500, 0.273).

As for the formation energy: 0.09 eV per atom. The density of states at the Fermi level is 1.17 states/eV/atom. The crystal system is monoclinic. The uncorrected energy is -31.65 eV for the cell shown. The calculation puts the volume at 214.9 Å³/cell.



Entry 11:
A relaxed CaFePb2 crystal. Source: Alexandria via LeMat-Bulk, functional PBE.

The space group is Immm (No. 71) and the conventional cell measures 3.770, 5.720 and 9.470 Å, with angles of 90.00, 90.00 and 90.00 degrees. The distinct sites, in fractional coordinates, are Ca at (0.000, 0.000, 0.000), Fe at (0.000, 0.000, 0.500) and Pb at (0.000, 0.500, 0.215).

As for the formation energy: 0.13 eV per atom. The density of states at the Fermi level is 0.78 states/eV/atom. The crystal system is orthorhombic. The uncorrected energy is -34.76 eV for the cell shown. The calculation puts the volume at 204.3 Å³/cell.



Entry 12:
A relaxed Ca2FePb crystal. Source: Alexandria via LeMat-Bulk, functional PBE.

The space group is F-43m (No. 216) and the conventional cell measures 7.258, 7.258 and 7.258 Å, with angles of 90.00, 90.00 and 90.00 degrees. The distinct sites, in fractional coordinates, are Ca at (0.000, 0.000, 0.000), Ca at (0.250, 0.250, 0.250), Fe at (0.000, 0.000, 0.500) and Pb at (0.250, 0.250, 0.750).

As for the formation energy: 0.18 eV per atom. The density of states at the Fermi level is 0.58 states/eV/atom. The crystal system is cubic. The uncorrected energy is -61.85 eV for the cell shown. The calculation puts the volume at 382.3 Å³/cell.



Which formula does entry 11 have? CaFePb2